No. 1
# Hf2Ni2Sn (SCAN, single point on PBEsol structure)
data_Hf2Ni2Sn
_chemical_formula_sum 'Hf4 Ni4 Sn2'
_cell_length_a 6.988
_cell_length_b 6.988
_cell_length_c 3.336
_cell_angle_alpha 90.00
_cell_angle_beta 90.00
_cell_angle_gamma 90.00
_space_group_name_H-M_alt 'P 4/m b m'
_space_group_IT_number 127
_space_group_name_Hall '-P 4 2ab'
loop_
_atom_site_label
_atom_site_fract_x
_atom_site_fract_y
_atom_site_fract_z
Hf1 0.167 0.333 0.000
Ni1 0.126 0.626 0.500
Sn1 0.000 0.000 0.500
# Energy of formation from the pure elements in meV per atom: -633

=====

No. 2
# KC7 (SCAN, single point on PBEsol structure)
data_KC7
_chemical_formula_sum 'K4 C28'
_cell_length_a 6.720
_cell_length_b 6.720
_cell_length_c 6.720
_cell_angle_alpha 90.00
_cell_angle_beta 90.00
_cell_angle_gamma 90.00
_space_group_name_H-M_alt 'F m -3 m'
_space_group_IT_number 225
_space_group_name_Hall '-F 4 2 3'
loop_
_atom_site_label
_atom_site_fract_x
_atom_site_fract_y
_atom_site_fract_z
K1 0.000 0.000 0.000
C1 0.000 0.000 0.500
C2 0.000 0.250 0.250
# Energy of formation from the pure elements in meV per atom: 4689

=====

Question: Which of these has the highest energy of formation from the pure elements?
Answer: KC7

=====

Please write out number 2 again, unchanged.
# KC7 (SCAN, single point on PBEsol structure)
data_KC7
_chemical_formula_sum 'K4 C28'
_cell_length_a 6.720
_cell_length_b 6.720
_cell_length_c 6.720
_cell_angle_alpha 90.00
_cell_angle_beta 90.00
_cell_angle_gamma 90.00
_space_group_name_H-M_alt 'F m -3 m'
_space_group_IT_number 225
_space_group_name_Hall '-F 4 2 3'
loop_
_atom_site_label
_atom_site_fract_x
_atom_site_fract_y
_atom_site_fract_z
K1 0.000 0.000 0.000
C1 0.000 0.000 0.500
C2 0.000 0.250 0.250
# Energy of formation from the pure elements in meV per atom: 4689

=====

Question: The highest energy of formation from the pure elements belongs to which entry?
Answer: KC7

=====

Question: Which of these has the highest energy of formation from the pure elements?
Answer: KC7